# Sc2NiIr2 (PBE-GGA, relaxed)
# Offset from the most stable computed form (eV/atom): 0.000
data_Sc2NiIr2
_chemical_formula_sum 'Sc4 Ni2 Ir4'
_space_group_name_H-M_alt 'P 4/m b m'
_space_group_IT_number 127
_space_group_name_Hall '-P 4 2ab'
_cell_length_a 6.536
_cell_length_b 6.536
_cell_length_c 4.010
_cell_angle_alpha 90.00
_cell_angle_beta 90.00
_cell_angle_gamma 90.00
loop_
_atom_site_label
_atom_site_fract_x
_atom_site_fract_y
_atom_site_fract_z
Sc1 0.175 0.325 0.000
Ni1 0.000 0.000 0.500
Ir1 0.138 0.638 0.500

# Sc8Ni2Ir (PBE-GGA, relaxed)
# Energy (eV/atom): -6.773
data_Sc8Ni2Ir
_chemical_formula_sum 'Sc16 Ni4 Ir2'
_space_group_name_H-M_alt 'C 1 2/m 1'
_space_group_IT_number 12
_space_group_name_Hall '-C 2y'
_cell_length_a 7.755
_cell_length_b 12.088
_cell_length_c 5.037
_cell_angle_alpha 90.00
_cell_angle_beta 107.94
_cell_angle_gamma 90.00
loop_
_atom_site_label
_atom_site_fract_x
_atom_site_fract_y
_atom_site_fract_z
Sc1 0.000 0.220 0.000
Sc2 0.135 0.500 0.817
Sc3 0.202 0.124 0.594
Ni1 0.000 0.305 0.500
Ir1 0.000 0.000 0.000

# Sc5NiIr4 (PBE-GGA, relaxed)
# Energy (eV/atom): -8.208
data_Sc5NiIr4
_chemical_formula_sum 'Sc5 Ni1 Ir4'
_space_group_name_H-M_alt 'P 4/m m m'
_space_group_IT_number 123
_space_group_name_Hall '-P 4 2'
_cell_length_a 3.163
_cell_length_b 3.163
_cell_length_c 16.707
_cell_angle_alpha 90.00
_cell_angle_beta 90.00
_cell_angle_gamma 90.00
loop_
_atom_site_label
_atom_site_fract_x
_atom_site_fract_y
_atom_site_fract_z
Sc1 0.000 0.000 0.000
Sc2 0.000 0.000 0.201
Sc3 0.000 0.000 0.402
Ni1 0.500 0.500 0.500
Ir1 0.500 0.500 0.101
Ir2 0.500 0.500 0.303